[1]
A relaxed structure of BaTb2Nd, computed with PBE-GGA.

## Properties
Formation enthalpy at 0 K, eV per atom: 0.22
Excess energy over the best structure of this formula in the dataset, meV/atom: 76
DOS(E_F), states/eV/f.u.: 6.47

The structure in POSCAR format:
```
BaTb2Nd
1.0
1.8267 1.0546 12.9924
-1.8267 1.0546 12.9924
0.0000 -2.1093 12.9924
Ba Tb Nd
1 2 1
Cartesian
0.0000 0.0000 0.0000 Ba
0.0000 0.0000 3.6226 Tb
0.0000 0.0000 35.3547 Tb
0.0000 0.0000 19.4886 Nd
```

=====

[2]
A relaxed structure of BaTb2Nd, computed with PBE-GGA.

## Properties
Formation enthalpy at 0 K, eV per atom: 0.15
Excess energy over the best structure of this formula in the dataset, meV/atom: 0
DOS(E_F), states/eV/f.u.: 6.52

The structure in POSCAR format:
```
BaTb2Nd
1.0
3.7388 0.0000 0.0000
0.0000 3.7388 0.0000
0.0000 0.0000 10.8832
Ba Tb Nd
1 2 1
Cartesian
0.0000 0.0000 0.0000 Ba
1.8694 1.8694 3.0460 Tb
1.8694 1.8694 7.8372 Tb
0.0000 0.0000 5.4416 Nd
```

=====

[3]
A relaxed structure of Ba3TbNd3Te8, computed with PBE-GGA.

## Properties
ΔE_f (raw), eV/atom: -1.569
DOS(E_F), states/eV/f.u.: 4.29

The structure in POSCAR format:
```
Ba3TbNd3Te8
1.0
4.5873 2.6485 8.0470
-4.5873 2.6485 8.0470
0.0000 -5.2970 8.0470
Ba Tb Nd Te
3 1 3 8
Cartesian
-2.2937 -1.3243 8.0470 Ba
-2.2937 1.3242 16.0940 Ba
0.0000 2.6485 8.0470 Ba
0.0000 0.0000 12.0705 Tb
-4.5873 0.0000 12.0705 Nd
-2.2937 1.3242 4.0235 Nd
2.2937 1.3243 4.0235 Nd
0.0000 0.0000 5.8362 Te
-2.2667 -1.3087 13.8386 Te
0.0000 -2.6174 10.3024 Te
-2.2667 1.3087 10.3024 Te
2.2667 -1.3087 13.8386 Te
0.0000 2.6174 13.8386 Te
2.2667 1.3087 10.3024 Te
0.0000 0.0000 18.3048 Te
```

=====

[4]
A relaxed structure of Ba3TbNd2Te6, computed with PBE-GGA.

## Properties
ΔE_f (raw), eV/atom: -1.563
DOS(E_F), states/eV/f.u.: 5.57

The structure in POSCAR format:
```
Ba3TbNd2Te6
1.0
4.0242 -6.9574 0.0000
4.0242 6.9574 0.0000
-2.6812 0.0000 7.8715
Ba Tb Nd Te
3 1 2 6
Cartesian
0.0000 0.0000 0.0000 Ba
4.0242 2.3563 0.0000 Ba
4.0242 -2.3563 0.0000 Ba
2.6836 0.0000 3.9358 Tb
2.6836 4.6536 3.9358 Nd
2.6836 -4.6536 3.9358 Nd
1.3704 2.2753 2.1978 Te
0.0576 0.0000 5.6962 Te
1.3704 -2.2753 2.1978 Te
3.9968 2.2753 5.6737 Te
5.3097 0.0000 2.1753 Te
3.9968 -2.2753 5.6737 Te
```

=====

[5]
A relaxed structure of Ba3Tb2NdTe6, computed with PBE-GGA.

## Properties
ΔE_f (raw), eV/atom: -1.546
DOS(E_F), states/eV/f.u.: 5.48

The structure in POSCAR format:
```
Ba3Tb2NdTe6
1.0
4.0009 -6.9171 0.0000
4.0009 6.9171 0.0000
-2.6662 0.0000 7.8487
Ba Tb Nd Te
3 2 1 6
Cartesian
0.0000 0.0000 0.0000 Ba
4.0009 2.2690 0.0000 Ba
4.0009 -2.2690 0.0000 Ba
2.6678 4.5977 3.9244 Tb
2.6678 -4.5977 3.9244 Tb
2.6678 0.0000 3.9244 Nd
1.3067 2.3501 2.1998 Te
-0.0546 0.0000 5.6274 Te
1.3067 -2.3501 2.1998 Te
4.0290 2.3501 5.6489 Te
5.3903 0.0000 2.2214 Te
4.0290 -2.3501 5.6489 Te
```

=====

[6]
A relaxed structure of BaNd3Tc, computed with PBE-GGA.

## Properties
Formation enthalpy at 0 K, eV per atom: 0.14
DOS(E_F), states/eV/f.u.: 4.69

The structure in POSCAR format:
```
BaNd3Tc
1.0
5.6786 0.0000 0.0000
0.0000 5.6786 0.0000
0.0000 0.0000 5.6786
Ba Nd Tc
1 3 1
Cartesian
0.0000 0.0000 0.0000 Ba
0.0000 2.8393 2.8393 Nd
2.8393 0.0000 2.8393 Nd
2.8393 2.8393 0.0000 Nd
2.8393 2.8393 2.8393 Tc
```

=====

[7]
A relaxed structure of BaNd4Te6, computed with PBE-GGA.

## Properties
ΔE_f (raw), eV/atom: -1.508
DOS(E_F), states/eV/f.u.: 3.94

The structure in POSCAR format:
```
BaNd4Te6
1.0
2.2773 -7.4099 0.0000
2.2773 7.4099 0.0000
0.0000 0.0000 23.3784
Ba Nd Te
2 8 12
Cartesian
2.2773 5.0235 17.5338 Ba
2.2773 -5.0235 5.8446 Ba
2.2773 6.0496 2.9407 Nd
2.2773 6.0496 8.7485 Nd
2.2773 2.0640 0.8847 Nd
2.2773 2.0640 10.8046 Nd
2.2773 -2.0640 12.5739 Nd
2.2773 -2.0640 22.4938 Nd
2.2773 -6.0496 14.6300 Nd
2.2773 -6.0496 20.4377 Nd
0.0000 0.0000 0.0000 Te
0.0000 0.0000 11.6892 Te
2.2773 4.9690 5.8446 Te
2.2773 3.4473 13.7559 Te
2.2773 3.4473 21.3118 Te
2.2773 0.6762 3.7386 Te
2.2773 0.6762 7.9506 Te
2.2773 -0.6762 15.4278 Te
2.2773 -0.6762 19.6398 Te
2.2773 -3.4473 2.0666 Te
2.2773 -3.4473 9.6226 Te
2.2773 -4.9690 17.5338 Te
```

=====

[8]
A relaxed structure of Ba2NdTe3, computed with PBE-GGA.

## Properties
ΔE_f (raw), eV/atom: -1.633
DOS(E_F), states/eV/f.u.: 1.67

The structure in POSCAR format:
```
Ba2NdTe3
1.0
4.1483 -7.1833 0.0000
4.1483 7.1833 0.0000
-2.7723 0.0000 7.9167
Ba Nd Te
4 2 6
Cartesian
0.0000 0.0000 0.0000 Ba
2.7621 4.8646 3.9584 Ba
2.7621 0.0000 3.9584 Ba
2.7621 -4.8646 3.9584 Ba
4.1483 2.4103 0.0000 Nd
4.1483 -2.4103 0.0000 Nd
1.4525 2.5108 1.8371 Te
0.1313 0.0000 6.1204 Te
1.4525 -2.5108 1.8371 Te
4.0718 2.5108 6.0796 Te
5.3930 0.0000 1.7964 Te
4.0718 -2.5108 6.0796 Te
```

=====

[9]
A relaxed structure of BaNdTe2, computed with PBE-GGA.

## Properties
ΔE_f (raw), eV/atom: -1.533
Excess energy over the best structure of this formula in the dataset, meV/atom: 48
DOS(E_F), states/eV/f.u.: 2.74

The structure in POSCAR format:
```
BaNdTe2
1.0
2.2901 1.3222 8.2575
-2.2901 1.3222 8.2575
0.0000 -2.6444 8.2575
Ba Nd Te
1 1 2
Cartesian
0.0000 0.0000 0.0000 Ba
0.0000 0.0000 4.2742 Nd
0.0000 0.0000 14.3209 Te
0.0000 0.0000 18.8948 Te
```

=====

[10]
A relaxed structure of Ba3NdTe4, computed with PBE-GGA.

## Properties
ΔE_f (raw), eV/atom: -1.661
DOS(E_F), states/eV/f.u.: 2.87

The structure in POSCAR format:
```
Ba3NdTe4
1.0
4.8876 -6.8674 0.0000
4.8876 6.8674 0.0000
0.0000 0.0000 4.8282
Ba Nd Te
3 1 4
Cartesian
0.0000 0.0000 0.0000 Ba
2.4438 3.4337 2.4141 Ba
2.4438 -3.4337 2.4141 Ba
4.8876 0.0000 0.0000 Nd
4.8876 3.2706 0.0000 Te
2.6415 0.0000 2.4141 Te
7.1337 0.0000 2.4141 Te
4.8876 -3.2706 0.0000 Te
```

=====

[11]
A relaxed structure of BaNdTe2, computed with PBE-GGA.

## Properties
ΔE_f (raw), eV/atom: -1.581
Excess energy over the best structure of this formula in the dataset, meV/atom: 0
DOS(E_F), states/eV/f.u.: 1.98

The structure in POSCAR format:
```
BaNdTe2
1.0
2.3310 1.3458 7.9158
-2.3310 1.3458 7.9158
0.0000 -2.6917 7.9158
Ba Nd Te
1 1 2
Cartesian
0.0000 0.0000 0.0000 Ba
0.0000 0.0000 11.8736 Nd
0.0000 0.0000 5.7379 Te
0.0000 0.0000 18.0094 Te
```

=====

DOS(E_F) of number 6 (BaNd3Tc)?
4.69 states/eV/f.u.

=====

What is the formula in the tenth record?
Ba3NdTe4

=====

Which of these has the highest DOS(E_F)?
number 2

=====

What is the formula in the sixth record?
BaNd3Tc